Material: Tm5TlIn4
Method: DFT, PBE
State: optimized geometry

```
Tm5TlIn4
1.0
3.683 0.000 0.000
0.000 3.683 0.000
0.000 0.000 19.080
In Tm Tl
4 5 1
direct
0.000 0.000 0.401
0.000 0.000 0.202
0.000 0.000 0.599
0.000 0.000 0.798
0.500 0.500 0.500
0.500 0.500 0.897
0.500 0.500 0.302
0.500 0.500 0.103
0.500 0.500 0.698
0.000 0.000 0.000
```

Summary:
Total energy in eV per formula unit: -39.66
Theoretical density in Mg/m³: 9.7
Calculated formation energy in eV per formula unit: -3.98
DOS(E_F) in states/eV/atom: 0.54
Spin magnetization in μB/f.u.: 0.0

=====

Material: SrTaO3
Method: DFT, PBE
State: optimized geometry

```
SrTaO3
1.0
-13.231 -6.372 14.256
-2.041 -3.654 -3.527
6.061 -0.165 -3.336
O Sr Ta
12 4 4
direct
0.465 0.410 0.572
0.144 0.370 0.068
0.356 0.870 0.432
0.865 0.496 0.556
0.035 0.910 0.928
0.644 0.130 0.568
0.856 0.630 0.932
0.135 0.504 0.444
0.535 0.590 0.428
0.965 0.090 0.072
0.635 0.996 0.944
0.365 0.004 0.056
0.701 0.278 0.393
0.299 0.722 0.607
0.201 0.222 0.893
0.799 0.778 0.107
0.034 0.260 0.986
0.534 0.240 0.486
0.966 0.740 0.014
0.466 0.760 0.514
```

Summary:
Total energy in eV per formula unit: -42.01
Theoretical density in Mg/m³: 6.1
DOS(E_F) in states/eV/atom: 0.00
Spin magnetization in μB/f.u.: 0.0

=====

Material: Cs2RbIn2Br6
Method: DFT, PBE
State: optimized geometry

```
Cs2RbIn2Br6
1.0
-6.139 -5.194 -2.454
7.203 0.004 -3.628
0.643 -4.755 8.457
In Br Cs Rb
2 6 2 1
direct
0.026 0.051 0.359
0.974 0.949 0.641
0.678 0.885 0.183
0.793 0.115 0.817
0.322 0.115 0.817
0.207 0.885 0.183
0.235 0.470 0.413
0.765 0.530 0.587
0.313 0.626 0.830
0.687 0.374 0.170
0.500 0.000 0.500
```

Summary:
Total energy in eV per formula unit: -31.85
Theoretical density in Mg/m³: 3.4
DOS(E_F) in states/eV/atom: 0.44
Spin magnetization in μB/f.u.: 0.0

=====

Material: Tb3TmTl4S8
Method: DFT, PBE
State: optimized geometry

```
Tb3TmTl4S8
1.0
-7.052 -3.128 -2.349
4.263 -5.528 -5.435
2.088 -0.160 7.789
Tl Tb S Tm
4 3 8 1
direct
0.500 0.000 0.500
0.500 0.000 0.000
0.000 0.000 0.000
0.000 0.000 0.500
0.500 0.500 0.000
0.500 0.500 0.500
0.000 0.500 0.500
0.230 0.697 0.967
0.737 0.697 0.967
0.230 0.697 0.461
0.770 0.303 0.539
0.267 0.301 0.534
0.733 0.699 0.466
0.263 0.303 0.033
0.770 0.303 0.033
0.000 0.500 0.000
```

Summary:
Total energy in eV per formula unit: -84.66
Theoretical density in Mg/m³: 6.7
DOS(E_F) in states/eV/atom: 0.00
Spin magnetization in μB/f.u.: 0.0